Record 1
Density functional theory data (meta-GGA SCAN) for a PBEsol-optimized structure of AlC2.

Cell and atoms, written as POSCAR:
```
AlC2
1.0
-1.5611 0.5231 -3.1485
3.0723 -0.7032 -1.6402
-1.7215 -3.7568 2.2342
C Al
4 2
Cartesian
-1.4459 -2.3881 -1.6846
-0.7836 -3.1206 -0.1299
-1.0812 -0.9356 -1.6241
0.5732 -0.8163 -2.4246
1.0532 -2.2750 -0.9002
0.0000 0.0000 0.0000
```

Output
raw total energy: -47.74 eV/cell
SG: I4_1/amd
ΔH_f (0 K): 1.361 eV per atom
relative energy among the computed polymorphs: 2.547 eV/f.u.

---

Record 2
Density functional theory data (meta-GGA SCAN) for a PBEsol-optimized structure of TaAs5.

Cell and atoms, written as POSCAR:
```
TaAs5
1.0
4.8936 0.0000 0.0000
0.0000 4.9758 0.0000
0.0000 -2.4879 4.3092
As Ta
5 1
Cartesian
0.0000 0.7550 1.3077
0.0000 3.4659 0.0000
0.0000 -1.7329 3.0015
2.4468 0.0000 2.8728
2.4468 2.4879 1.4364
2.4468 0.0000 0.0000
```

Output
raw total energy: -166.23 eV/cell
SG: P-62m
ΔH_f (0 K): 0.217 eV per atom
relative energy among the computed polymorphs: 0.623 eV/f.u.

---

Record 3
Density functional theory data (meta-GGA SCAN) for a PBEsol-optimized structure of Y2ScAl.

Cell and atoms, written as POSCAR:
```
Y2ScAl
1.0
3.6111 0.0000 0.0000
0.0000 5.1031 0.0000
-1.8056 -2.5515 5.4448
Y Sc Al
2 1 1
Cartesian
1.8056 2.5515 5.4033
1.8056 0.0000 3.0401
0.0000 2.5515 2.3450
1.8056 2.5515 0.1012
```

Output
raw total energy: -78.61 eV/cell
SG: Imm2
ΔH_f (0 K): -0.234 eV per atom

---

Record 4
Density functional theory data (meta-GGA SCAN) for a PBEsol-optimized structure of MgAsCl.

Cell and atoms, written as POSCAR:
```
MgAsCl
1.0
-3.1485 1.1780 -3.0740
-4.1150 -1.9515 0.0918
-3.6404 2.4200 1.2809
As Mg Cl
1 1 1
Cartesian
0.0000 0.0000 0.0000
-2.7260 0.4116 -0.4253
-5.4519 0.8233 -0.8506
```

Output
raw total energy: -33.70 eV/cell
SG: F-43m
formation energy (no corrections): -0.18 eV per atom

---

Record 5
Density functional theory data (meta-GGA SCAN) for a PBEsol-optimized structure of ScMnCl2.

Cell and atoms, written as POSCAR:
```
ScMnCl2
1.0
3.2374 0.0000 0.0000
-1.6187 2.8505 0.0000
0.0000 0.0000 9.0003
Sc Mn Cl
1 1 2
Cartesian
1.6187 0.0000 0.0000
1.6187 0.0000 4.5002
0.0000 0.0000 7.0782
0.0000 0.0000 1.9222
```

Output
raw total energy: -52.09 eV/cell
SG: Cmmm
formation energy (no corrections): -0.91 eV per atom
relative energy among the computed polymorphs: 0.501 eV/f.u.

---

Record 6
Density functional theory data (meta-GGA SCAN) for a PBEsol-optimized structure of Li2Ti6Zn3O16.

Cell and atoms, written as POSCAR:
```
Li2Ti6Zn3O16
1.0
8.3431 0.0000 -0.0100
0.0000 8.3566 0.0000
-0.0747 0.0000 8.3461
Li Ti Zn O
4 12 6 32
Cartesian
6.1720 4.2453 4.1882
5.2131 3.1352 1.0343
3.0553 7.3135 7.3018
2.0964 0.0670 4.1479
1.0962 7.2260 1.1280
0.9556 0.9531 7.1608
0.8742 3.1126 5.0932
7.3941 7.2909 3.2428
7.3128 5.1314 1.1752
7.1722 3.0477 7.2081
5.2800 1.1669 3.1861
5.1668 7.3758 5.2606
5.0887 5.2208 7.3140
3.1797 1.0425 1.0221
3.1016 3.1975 3.0755
2.9884 5.3452 5.1500
1.9831 4.1617 8.2940
-0.0028 2.0304 2.0328
8.2712 6.2087 6.3033
6.2853 8.3399 0.0421
4.2216 6.2869 2.1019
4.0468 2.1086 6.2342
1.1521 5.0655 5.3355
1.1528 3.0224 3.2467
1.1677 0.9097 0.9309
1.0881 1.2104 5.3711
0.9565 7.4464 7.4236
0.8518 3.0100 7.2015
0.9052 5.3696 0.9459
0.8745 7.4064 2.9894
7.3939 3.2281 5.3467
7.3632 1.1913 7.3902
7.4166 7.1883 1.1346
7.3119 3.2682 0.9124
7.1803 5.3887 2.9650
7.1007 5.0880 7.4051
7.1156 7.2007 5.0894
7.1163 0.8872 3.0006
5.2671 3.2429 7.2796
5.3322 5.2442 0.8842
5.2940 7.4354 3.2611
5.1776 7.2034 7.1751
5.0644 0.9040 5.0905
5.0264 5.3619 5.3608
5.0606 2.9956 3.1304
5.0637 1.0266 1.1470
3.2047 5.2049 7.1891
3.2078 7.1739 5.2057
3.2420 1.1836 2.9753
3.2040 5.0823 3.2456
3.0908 3.0251 1.1610
2.9744 3.2572 5.0750
2.9362 1.0660 7.4519
3.0013 7.4211 1.0565
```

Output
raw total energy: -637.22 eV/cell
SG: P2_1
formation energy (no corrections): -2.87 eV per atom

---

Record 7
Density functional theory data (meta-GGA SCAN) for a PBEsol-optimized structure of MgCo6Ge6.

Cell and atoms, written as POSCAR:
```
MgCo6Ge6
1.0
4.9933 0.0000 0.0000
-2.4967 4.3243 0.0000
0.0000 0.0000 7.6252
Mg Co Ge
1 6 6
Cartesian
0.0000 0.0000 0.0000
-1.2483 2.1622 1.9053
2.4967 0.0000 1.9053
1.2483 2.1622 1.9053
2.4967 0.0000 5.7199
-1.2483 2.1622 5.7199
1.2483 2.1622 5.7199
2.4967 1.4414 3.8126
0.0000 2.8829 3.8126
2.4967 1.4414 0.0000
0.0000 0.0000 5.0517
0.0000 0.0000 2.5734
0.0000 2.8829 0.0000
```

Output
raw total energy: -225.65 eV/cell
SG: P6/mmm
ΔH_f (0 K): -0.179 eV per atom

---

Record 8
Density functional theory data (meta-GGA SCAN) for a PBEsol-optimized structure of Ta4InRe.

Cell and atoms, written as POSCAR:
```
Ta4InRe
1.0
5.3375 0.0000 0.0000
2.6688 4.6224 0.0000
2.6688 1.5408 4.3581
In Re Ta
1 1 4
Cartesian
8.0063 4.6224 3.2685
0.0000 0.0000 0.0000
4.0003 2.3096 1.6331
5.3375 3.0816 3.8168
6.6747 2.3096 1.6331
5.3375 4.6257 1.6331
```

Output
raw total energy: -368.58 eV/cell
SG: F-43m
ΔH_f (0 K): 0.373 eV per atom

---

Record 9
Density functional theory data (meta-GGA SCAN) for a PBEsol-optimized structure of AgAsPbBr2.

Cell and atoms, written as POSCAR:
```
AgAsPbBr2
1.0
5.5517 0.0000 0.0000
0.0000 5.6445 0.0000
0.0000 0.0000 5.6445
Pb As Br Ag
1 1 2 1
Cartesian
0.0000 0.0000 0.0000
2.7758 0.0000 0.0000
0.0000 0.0000 2.8222
0.0000 2.8222 0.0000
2.7758 2.8222 2.8222
```

Output
raw total energy: -164.54 eV/cell
SG: P4/mmm
formation energy (no corrections): 0.34 eV per atom

---

Record 10
Density functional theory data (meta-GGA SCAN) for a PBEsol-optimized structure of ScTiGePb2.

Cell and atoms, written as POSCAR:
```
ScTiGePb2
1.0
-0.8439 0.5252 -4.8934
2.4193 -4.6761 -0.9191
-4.6792 -2.5263 0.5358
Pb Sc Ge Ti
2 1 1 1
Cartesian
-2.3396 -1.2631 0.2679
1.2097 -2.3381 -0.4596
-0.4220 0.2626 -2.4467
0.0000 0.0000 0.0000
-1.5519 -3.3386 -2.6383
```

Output
raw total energy: -198.16 eV/cell
SG: P4/mmm
ΔH_f (0 K): 0.551 eV per atom

---

Record 11
Density functional theory data (meta-GGA SCAN) for a PBEsol-optimized structure of CaB2C6.

Cell and atoms, written as POSCAR:
```
CaB2C6
1.0
5.0849 0.0312 0.0000
-2.5044 4.4255 0.0000
-1.2903 -2.2284 4.5106
Ca B C
1 2 6
Cartesian
0.0000 0.0000 0.0392
-0.5445 3.2907 1.4953
3.1250 1.1660 1.4953
-1.2522 2.2128 3.7635
2.5425 0.0156 3.7635
2.5425 0.0156 0.7034
-1.2522 2.2128 0.7034
1.9134 -1.1079 3.0391
-1.9134 1.1079 3.0391
```

Output
raw total energy: -87.03 eV/cell
SG: Fmm2
ΔH_f (0 K): -0.212 eV per atom

---

Record 12
Density functional theory data (meta-GGA SCAN) for a PBEsol-optimized structure of NiBr2O.

Cell and atoms, written as POSCAR:
```
NiBr2O
1.0
-3.1880 0.9245 0.7400
-1.1095 -0.1414 3.2117
0.9040 7.4198 2.4396
Ni O Br
1 1 2
Cartesian
0.0000 0.0000 0.0000
-1.6968 4.1014 3.1956
-3.6337 2.8169 4.2705
0.2402 5.3860 2.1207
```

Output
raw total energy: -58.07 eV/cell
SG: R-3m
formation energy (no corrections): 0.81 eV per atom

---

Record 13
Density functional theory data (meta-GGA SCAN) for a PBEsol-optimized structure of SrCa2La.

Cell and atoms, written as POSCAR:
```
SrCa2La
1.0
3.7020 0.0000 0.0064
0.0000 6.1234 0.0000
-1.4292 0.0000 7.1396
Sr Ca La
1 2 1
Cartesian
-0.7146 3.0617 3.5698
1.7382 0.0000 5.4260
0.5345 0.0000 1.7200
1.8510 3.0617 0.0032
```

Output
raw total energy: -84.30 eV/cell
SG: P2/m
ΔH_f (0 K): 0.101 eV per atom
relative energy among the computed polymorphs: 0.079 eV/f.u.